Model A:
Mn3PI PBE-GGA optimized geometry; crystal system = cubic
1.0
-3.7013 -2.9666 0.3364
2.9457 -3.5413 1.1814
-0.4865 1.1279 4.5940
Mn P I
3 1 1
Direct
0.0000 0.0000 0.5000
0.5000 0.0000 0.0000
0.0000 0.5000 0.0000
0.0000 0.0000 0.0000
0.5000 0.5000 0.5000

---

Model B:
Mn3PI PBE-GGA optimized geometry; crystal system = cubic
1.0
4.9753 0.0000 0.0000
0.0000 4.9753 0.0000
0.0000 0.0000 4.9753
Mn P I
3 1 1
Direct
0.5000 0.0000 0.0000
0.0000 0.0000 0.5000
0.0000 0.5000 0.0000
0.5000 0.5000 0.5000
0.0000 0.0000 0.0000

---

Relative to the most stable one, in eV/atom, the structures come out at model A 0.000; model B 1.155.